w:
Density functional theory data (PBE-GGA) for a relaxed Mg3WCl crystal.

abc: 5.4887 5.4887 5.4887
angles: 90.00 90.00 90.00
With the nearest neighbours (Å) after each atom.
Fractional coordinates of all 5 atoms:
Mg1 0.0000 0.5000 0.0000  2 W 2.74
Mg2 0.0000 0.0000 0.5000  2 W 2.74
Mg3 0.5000 0.0000 0.0000  2 W 2.74
W1 0.0000 0.0000 0.0000  6 Mg 2.74
Cl1 0.5000 0.5000 0.5000  12 Mg 3.88

***

x:
Density functional theory data (PBE-GGA) for a relaxed Mg3WCl crystal.

abc: 4.7191 4.7191 4.7191
angles: 90.00 90.00 90.00
With the nearest neighbours (Å) after each atom.
Fractional coordinates of all 5 atoms:
Mg1 0.0000 0.5000 0.0000  2 Cl 2.36
Mg2 0.0000 0.0000 0.5000  2 Cl 2.36
Mg3 0.5000 0.0000 0.0000  2 Cl 2.36
W1 0.5000 0.5000 0.5000  12 Mg 3.34
Cl1 0.0000 0.0000 0.0000  6 Mg 2.36

***

The structure with the greatest stability is x.

***

w:
Density functional theory data (PBE-GGA) for a relaxed MgW2Cl2 crystal.

abc: 9.1900 9.1900 2.8703
angles: 90.00 90.00 90.00
With the nearest neighbours (Å) after each atom.
Fractional coordinates of all 10 atoms:
Mg1 0.0000 0.0000 0.0000  2 Mg 2.87
Mg2 0.5000 0.5000 0.0000  2 Mg 2.87
W1 0.4073 0.9073 0.0000  1 W 2.41, 2 Cl 2.47
W2 0.9073 0.5927 0.0000  1 W 2.41, 2 Cl 2.47
W3 0.5927 0.0927 0.0000  1 W 2.41, 2 Cl 2.47
W4 0.0927 0.4073 0.0000  1 W 2.41, 2 Cl 2.47
Cl1 0.2530 0.7530 0.5000  2 W 2.47
Cl2 0.7530 0.7470 0.5000  2 W 2.47
Cl3 0.7470 0.2470 0.5000  2 W 2.47
Cl4 0.2470 0.2530 0.5000  2 W 2.47

***

x:
Density functional theory data (PBE-GGA) for a relaxed MgW2Cl2 crystal.

abc: 4.2934 4.2934 6.3629
angles: 70.28 70.28 90.00
With the nearest neighbours (Å) after each atom.
Fractional coordinates of all 5 atoms:
Mg1 0.0000 0.0000 0.0000  8 W 3.24, 8 Cl 3.53
W1 0.3998 0.3998 0.2004  1 W 2.24
W2 0.6002 0.6002 0.7996  1 W 2.24
Cl1 0.7500 0.2500 0.5000  4 W 2.72, 4 Cl 3.04
Cl2 0.2500 0.7500 0.5000  4 W 2.72, 4 Cl 3.04

***

The structure with the greatest stability is x.

***

w:
Density functional theory data (PBE-GGA) for a relaxed Y2Mg2Cl crystal.

abc: 7.3695 7.3695 5.1285
angles: 90.00 90.00 90.00
With the nearest neighbours (Å) after each atom.
Fractional coordinates of all 10 atoms:
Y1 0.1531 0.6531 0.5000  1 Y 3.19, 6 Mg 3.34-3.36
Y2 0.6531 0.8469 0.5000  1 Y 3.19, 6 Mg 3.34-3.36
Y3 0.8469 0.3469 0.5000  1 Y 3.19, 6 Mg 3.34-3.36
Y4 0.3469 0.1531 0.5000  1 Y 3.19, 6 Mg 3.34-3.36
Mg1 0.3582 0.8582 0.0000  2 Cl 2.84, 1 Mg 2.96
Mg2 0.8582 0.6418 0.0000  2 Cl 2.84, 1 Mg 2.96
Mg3 0.6418 0.1418 0.0000  2 Cl 2.84, 1 Mg 2.96
Mg4 0.1418 0.3582 0.0000  2 Cl 2.84, 1 Mg 2.96
Cl1 0.0000 0.0000 0.0000  4 Mg 2.84
Cl2 0.5000 0.5000 0.0000  4 Mg 2.84

***

x:
Density functional theory data (PBE-GGA) for a relaxed Y2Mg2Cl crystal.

abc: 7.2667 7.2667 5.3797
angles: 90.00 90.00 90.00
With the nearest neighbours (Å) after each atom.
Fractional coordinates of all 10 atoms:
Y1 0.3386 0.8386 0.0000  2 Cl 2.73
Y2 0.8386 0.6614 0.0000  2 Cl 2.73
Y3 0.6614 0.1614 0.0000  2 Cl 2.73
Y4 0.1614 0.3386 0.0000  2 Cl 2.73
Mg1 0.1415 0.6415 0.5000  1 Mg 2.91
Mg2 0.6415 0.8585 0.5000  1 Mg 2.91
Mg3 0.8585 0.3585 0.5000  1 Mg 2.91
Mg4 0.3585 0.1415 0.5000  1 Mg 2.91
Cl1 0.0000 0.0000 0.0000  4 Y 2.73
Cl2 0.5000 0.5000 0.0000  4 Y 2.73

***

y:
Density functional theory data (PBE-GGA) for a relaxed Y2Mg2Cl crystal.

abc: 4.3180 4.3180 9.1432
angles: 76.34 76.34 90.00
With the nearest neighbours (Å) after each atom.
Fractional coordinates of all 5 atoms:
Y1 0.7500 0.2500 0.5000  4 Y 3.05
Y2 0.2500 0.7500 0.5000  4 Y 3.05
Mg1 0.4070 0.4070 0.1859  1 Mg 3.20, 4 Cl 3.45, 4 Y 3.46
Mg2 0.5930 0.5930 0.8141  1 Mg 3.20, 4 Cl 3.45, 4 Y 3.46
Cl1 0.0000 0.0000 0.0000  8 Mg 3.45

***

The structure with the greatest stability is x.

***

w:
Density functional theory data (PBE-GGA) for a relaxed YMg3Cl crystal.

abc: 5.1456 5.1456 5.1456
angles: 90.00 90.00 90.00
With the nearest neighbours (Å) after each atom.
Fractional coordinates of all 5 atoms:
Y1 0.5000 0.5000 0.5000  12 Mg 3.64
Mg1 0.0000 0.5000 0.0000  2 Cl 2.57
Mg2 0.0000 0.0000 0.5000  2 Cl 2.57
Mg3 0.5000 0.0000 0.0000  2 Cl 2.57
Cl1 0.0000 0.0000 0.0000  6 Mg 2.57

***

x:
Density functional theory data (PBE-GGA) for a relaxed YMg3Cl crystal.

abc: 6.3064 6.3064 6.3064
angles: 90.00 90.00 90.00
With the nearest neighbours (Å) after each atom.
Fractional coordinates of all 5 atoms:
Y1 0.0000 0.0000 0.0000  6 Mg 3.15
Mg1 0.0000 0.5000 0.0000  2 Y 3.15
Mg2 0.0000 0.0000 0.5000  2 Y 3.15
Mg3 0.5000 0.0000 0.0000  2 Y 3.15
Cl1 0.5000 0.5000 0.5000  12 Mg 4.46

***

The structure with the greatest stability is w.

***

w:
Density functional theory data (PBE-GGA) for a relaxed Mg2ZnCl crystal.

abc: 7.4170 7.4170 6.1778
angles: 53.11 53.11 90.00
With the nearest neighbours (Å) after each atom.
Fractional coordinates of all 8 atoms:
Zn1 0.0000 0.0000 0.0000  4 Mg 2.81
Zn2 0.7500 0.2500 0.5000  4 Mg 2.81
Mg1 0.6121 0.1250 0.2500  2 Cl 2.68, 2 Zn 2.81
Mg2 0.1379 0.6250 0.2500  2 Cl 2.68, 2 Zn 2.81
Mg3 0.3750 0.3879 0.7500  2 Cl 2.68, 2 Zn 2.81
Mg4 0.8750 0.8621 0.7500  2 Cl 2.68, 2 Zn 2.81
Cl1 0.5000 0.5000 0.0000  4 Mg 2.68
Cl2 0.2500 0.7500 0.5000  4 Mg 2.68

***

x:
Density functional theory data (PBE-GGA) for a relaxed Mg2ZnCl crystal.

abc: 5.9970 5.9970 5.9970
angles: 148.93 130.32 59.76
With the nearest neighbours (Å) after each atom.
Fractional coordinates of all 4 atoms:
Cl1 0.2204 0.7204 0.5000  2 Mg 2.65
Mg1 0.0172 0.0172 0.0000  2 Cl 2.65
Mg2 0.7591 0.2591 0.5000  4 Cl 3.01, 2 Zn 3.11, 4 Mg 3.13-3.21
Zn1 0.5033 0.5033 0.0000  6 Mg 2.99-3.11, 2 Zn 3.21

***

The structure with the greatest stability is x.

***

w:
Density functional theory data (PBE-GGA) for a relaxed Mg2ZnCl crystal.

abc: 6.3596 5.1286 3.3690
angles: 80.43 74.83 122.28
With the nearest neighbours (Å) after each atom.
Fractional coordinates of all 4 atoms:
Cl1 0.5000 0.5000 0.0000  4 Mg 2.82
Mg1 0.0000 0.0000 0.0000  2 Zn 2.82, 2 Cl 2.82
Mg2 0.5000 0.0000 0.5000  2 Cl 2.82, 2 Zn 2.82
Zn1 0.0000 0.5000 0.5000  4 Mg 2.82

***

x:
Density functional theory data (PBE-GGA) for a relaxed Mg2ZnCl crystal.

abc: 3.2347 3.3027 7.6297
angles: 90.06 90.00 90.00
With the nearest neighbours (Å) after each atom.
Fractional coordinates of all 4 atoms:
Cl1 0.5000 0.7500 0.7500  4 Mg 2.65
Mg1 0.0000 0.7498 0.0255  2 Cl 2.65, 4 Zn 2.88
Mg2 0.0000 0.7502 0.4745  2 Cl 2.65, 4 Zn 2.88
Zn1 0.5000 0.2500 0.2500  8 Mg 2.88

***

y:
Density functional theory data (PBE-GGA) for a relaxed Mg2ZnCl crystal.

abc: 5.3192 5.3192 5.3192
angles: 129.89 129.89 73.58
With the nearest neighbours (Å) after each atom.
Fractional coordinates of all 4 atoms:
Cl1 0.7500 0.2500 0.5000  8 Mg 3.10, 4 Zn 3.19
Mg1 0.0000 0.0000 0.0000  4 Cl 3.10, 4 Zn 3.10, 4 Mg 3.19
Mg2 0.5000 0.5000 0.0000  4 Zn 3.10, 4 Cl 3.10, 4 Mg 3.19
Zn1 0.2500 0.7500 0.5000  8 Mg 3.10, 4 Cl 3.19

***

z:
Density functional theory data (PBE-GGA) for a relaxed Mg2ZnCl crystal.

abc: 3.2998 3.2998 7.9241
angles: 90.00 90.00 108.13
With the nearest neighbours (Å) after each atom.
Fractional coordinates of all 4 atoms:
Cl1 0.5000 0.5000 0.7500  4 Mg 2.83
Mg1 0.0000 0.0000 0.0103  2 Zn 2.71, 2 Cl 2.83
Mg2 0.0000 0.0000 0.4897  2 Zn 2.71, 2 Cl 2.83
Zn1 0.5000 0.5000 0.2500  4 Mg 2.71

***

The structure with the greatest stability is x.

***

w:
Density functional theory data (PBE-GGA) for a relaxed Mg2ZnCl crystal.

abc: 5.1375 3.2116 6.0736
angles: 57.98 90.00 90.00
With the nearest neighbours (Å) after each atom.
Fractional coordinates of all 4 atoms:
Cl1 0.5000 0.7538 0.8748  4 Mg 2.57-2.58
Mg1 0.0000 0.7489 0.8749  2 Cl 2.57
Mg2 0.5000 0.2481 0.3750  2 Cl 2.57-2.58
Zn1 0.0000 0.7492 0.3753  8 Mg 3.03-3.04, 2 Zn 3.21

***

x:
Density functional theory data (PBE-GGA) for a relaxed Mg2ZnCl crystal.

abc: 6.1828 6.1828 6.1828
angles: 142.59 142.59 53.94
With the nearest neighbours (Å) after each atom.
Fractional coordinates of all 4 atoms:
Cl1 0.7500 0.2500 0.5000  4 Mg 2.80
Mg1 0.0000 0.0000 0.0000  4 Zn 2.80
Mg2 0.2500 0.7500 0.5000  4 Cl 2.80
Zn1 0.5000 0.5000 0.0000  4 Mg 2.80

***

y:
Density functional theory data (PBE-GGA) for a relaxed Mg2ZnCl crystal.

abc: 5.0564 5.0564 5.0564
angles: 60.00 60.00 60.00
With the nearest neighbours (Å) after each atom.
Fractional coordinates of all 4 atoms:
Zn1 0.5000 0.5000 0.5000  8 Mg 3.10
Mg1 0.2500 0.2500 0.2500  4 Cl 3.10, 4 Zn 3.10
Mg2 0.7500 0.7500 0.7500  4 Cl 3.10, 4 Zn 3.10
Cl1 0.0000 0.0000 0.0000  8 Mg 3.10

***

z:
Density functional theory data (PBE-GGA) for a relaxed Mg2ZnCl crystal.

abc: 5.6332 5.6332 5.6332
angles: 146.61 113.68 76.32
With the nearest neighbours (Å) after each atom.
Fractional coordinates of all 4 atoms:
Cl1 0.2500 0.7500 0.5000  4 Mg 2.65
Mg1 0.0128 0.0128 0.0000  2 Cl 2.65, 2 Zn 2.84
Mg2 0.4872 0.4872 0.0000  2 Cl 2.65, 2 Zn 2.84
Zn1 0.7500 0.2500 0.5000  4 Mg 2.84

***

The structure with the greatest stability is w.

***

w:
Density functional theory data (PBE-GGA) for a relaxed MgZnCl3 crystal.

abc: 4.8804 4.8804 4.8804
angles: 90.00 90.00 90.00
With the nearest neighbours (Å) after each atom.
Fractional coordinates of all 5 atoms:
Zn1 0.0000 0.0000 0.0000  6 Cl 2.44
Mg1 0.5000 0.5000 0.5000  12 Cl 3.45
Cl1 0.0000 0.5000 0.0000  2 Zn 2.44
Cl2 0.0000 0.0000 0.5000  2 Zn 2.44
Cl3 0.5000 0.0000 0.0000  2 Zn 2.44

***

x:
Density functional theory data (PBE-GGA) for a relaxed MgZnCl3 crystal.

abc: 4.9241 4.9241 4.9241
angles: 90.00 90.00 90.00
With the nearest neighbours (Å) after each atom.
Fractional coordinates of all 5 atoms:
Zn1 0.5000 0.5000 0.5000  12 Cl 3.48
Mg1 0.0000 0.0000 0.0000  6 Cl 2.46
Cl1 0.0000 0.5000 0.0000  2 Mg 2.46
Cl2 0.0000 0.0000 0.5000  2 Mg 2.46
Cl3 0.5000 0.0000 0.0000  2 Mg 2.46

***

The structure with the greatest stability is x.

***

w:
Density functional theory data (PBE-GGA) for a relaxed MgZn3Cl crystal.

abc: 5.0653 5.0653 5.0653
angles: 90.00 90.00 90.00
With the nearest neighbours (Å) after each atom.
Fractional coordinates of all 5 atoms:
Zn1 0.0000 0.5000 0.0000  2 Cl 2.53
Zn2 0.0000 0.0000 0.5000  2 Cl 2.53
Zn3 0.5000 0.0000 0.0000  2 Cl 2.53
Mg1 0.5000 0.5000 0.5000  12 Zn 3.58
Cl1 0.0000 0.0000 0.0000  6 Zn 2.53

***

x:
Density functional theory data (PBE-GGA) for a relaxed MgZn3Cl crystal.

abc: 5.2638 5.2638 5.2638
angles: 90.00 90.00 90.00
With the nearest neighbours (Å) after each atom.
Fractional coordinates of all 5 atoms:
Zn1 0.0000 0.5000 0.0000  2 Mg 2.63
Zn2 0.0000 0.0000 0.5000  2 Mg 2.63
Zn3 0.5000 0.0000 0.0000  2 Mg 2.63
Mg1 0.0000 0.0000 0.0000  6 Zn 2.63
Cl1 0.5000 0.5000 0.5000  12 Zn 3.72

***

The structure with the greatest stability is x.

***

w:
Density functional theory data (PBE-GGA) for a relaxed Mg2ZrCl crystal.

abc: 5.1938 5.1938 5.1938
angles: 60.00 60.00 60.00
With the nearest neighbours (Å) after each atom.
Fractional coordinates of all 4 atoms:
Mg1 0.2500 0.2500 0.2500  4 Zr 3.18, 4 Cl 3.18
Mg2 0.7500 0.7500 0.7500  4 Zr 3.18, 4 Cl 3.18
Zr1 0.5000 0.5000 0.5000  8 Mg 3.18
Cl1 0.0000 0.0000 0.0000  8 Mg 3.18

***

x:
Density functional theory data (PBE-GGA) for a relaxed Mg2ZrCl crystal.

abc: 3.3530 5.2688 5.2688
angles: 90.00 90.00 90.00
With the nearest neighbours (Å) after each atom.
Fractional coordinates of all 4 atoms:
Cl1 0.5000 0.0000 0.5000  8 Mg 3.12, 2 Cl 3.35
Mg1 0.0000 0.0000 0.0000  4 Zr 3.12, 4 Cl 3.12, 2 Mg 3.35
Mg2 0.0000 0.5000 0.5000  4 Cl 3.12, 4 Zr 3.12, 2 Mg 3.35
Zr1 0.5000 0.5000 0.0000  8 Mg 3.12, 2 Zr 3.35

***

The structure with the greatest stability is x.

***

w:
Density functional theory data (PBE-GGA) for a relaxed Mg3ZrCl crystal.

abc: 5.8834 5.8834 5.8834
angles: 90.00 90.00 90.00
With the nearest neighbours (Å) after each atom.
Fractional coordinates of all 5 atoms:
Mg1 0.0000 0.5000 0.0000  2 Zr 2.94
Mg2 0.0000 0.0000 0.5000  2 Zr 2.94
Mg3 0.5000 0.0000 0.0000  2 Zr 2.94
Zr1 0.0000 0.0000 0.0000  6 Mg 2.94
Cl1 0.5000 0.5000 0.5000  12 Mg 4.16

***

x:
Density functional theory data (PBE-GGA) for a relaxed Mg3ZrCl crystal.

abc: 4.9514 4.9514 4.9514
angles: 90.00 90.00 90.00
With the nearest neighbours (Å) after each atom.
Fractional coordinates of all 5 atoms:
Mg1 0.0000 0.5000 0.0000  2 Cl 2.48
Mg2 0.0000 0.0000 0.5000  2 Cl 2.48
Mg3 0.5000 0.0000 0.0000  2 Cl 2.48
Zr1 0.5000 0.5000 0.5000  12 Mg 3.50
Cl1 0.0000 0.0000 0.0000  6 Mg 2.48

***

The structure with the greatest stability is x.